Entry 1:
VASP calculation (PBE) on Cs2PuAgO6 after structural relaxation.

a b c (Å): 6.6028 6.6028 5.8761
angles (deg): 90.00 90.00 120.00
Sites, in units of the cell vectors:
Cs1 0.3333 0.6667 0.2521
Cs2 0.6667 0.3333 0.7479
Pu1 0.0000 0.0000 0.5000
Ag1 0.0000 0.0000 0.0000
O1 0.1378 0.2756 0.7077
O2 0.1378 0.8622 0.7077
O3 0.2756 0.1378 0.2923
O4 0.7244 0.8622 0.7077
O5 0.8622 0.1378 0.2923
O6 0.8622 0.7244 0.2923

Results
**Raw formation energy**: -1521 meV per atom
**Calculated volume**: 222 Å³ per cell
**M_tot**: 1.05 Bohr magnetons per cell

***

Entry 2:
VASP calculation (PBE) on Cs3Pu2AgO8 after structural relaxation.

a b c (Å): 6.3876 6.3876 8.6781
angles (deg): 90.00 90.00 120.00
Sites, in units of the cell vectors:
Cs1 0.0000 0.0000 0.0000
Cs2 0.3333 0.6667 0.6287
Cs3 0.6667 0.3333 0.3713
Pu1 0.3333 0.6667 0.1959
Pu2 0.6667 0.3333 0.8041
Ag1 0.0000 0.0000 0.5000
O1 0.1804 0.3607 0.3153
O2 0.1804 0.8196 0.3153
O3 0.3333 0.6667 0.9757
O4 0.3607 0.1804 0.6847
O5 0.6393 0.8196 0.3153
O6 0.6667 0.3333 0.0243
O7 0.8196 0.1804 0.6847
O8 0.8196 0.6393 0.6847

Results
**Raw formation energy**: -1689 meV per atom
**Calculated volume**: 307 Å³ per cell
**M_tot**: 4.00 Bohr magnetons per cell

***

Entry 3:
VASP calculation (PBE) on Cs3PuAg2O6 after structural relaxation.

a b c (Å): 8.4756 8.4756 6.3125
angles (deg): 92.76 92.76 136.40
Sites, in units of the cell vectors:
Cs1 0.0000 0.0000 0.0000
Cs2 0.3425 0.6575 0.0000
Cs3 0.6575 0.3425 0.0000
Pu1 0.5000 0.5000 0.5000
Ag1 0.0987 0.9013 0.5000
Ag2 0.9013 0.0987 0.5000
O1 0.1902 0.3791 0.3660
O2 0.3772 0.3772 0.7628
O3 0.3791 0.1902 0.3660
O4 0.6209 0.8098 0.6340
O5 0.6228 0.6228 0.2372
O6 0.8098 0.6209 0.6340

Results
**Raw formation energy**: -1504 meV per atom
**Calculated volume**: 310 Å³ per cell
**M_tot**: 1.00 Bohr magnetons per cell

***

Entry 4:
VASP calculation (PBE) on Cs4Pu3AgO12 after structural relaxation.

a b c (Å): 7.7011 7.7011 7.7011
angles (deg): 109.47 109.47 109.47
Sites, in units of the cell vectors:
Cs1 0.0000 0.0000 0.5000
Cs2 0.0000 0.5000 0.0000
Cs3 0.5000 0.0000 0.0000
Cs4 0.5000 0.5000 0.5000
Pu1 0.0000 0.5000 0.5000
Pu2 0.5000 0.0000 0.5000
Pu3 0.5000 0.5000 0.0000
Ag1 0.0000 0.0000 0.0000
O1 0.0000 0.2887 0.2887
O2 0.0000 0.7113 0.7113
O3 0.2500 0.5000 0.7500
O4 0.2500 0.7500 0.5000
O5 0.2887 0.0000 0.2887
O6 0.2887 0.2887 0.0000
O7 0.5000 0.2500 0.7500
O8 0.5000 0.7500 0.2500
O9 0.7113 0.0000 0.7113
O10 0.7113 0.7113 0.0000
O11 0.7500 0.2500 0.5000
O12 0.7500 0.5000 0.2500

Results
**Raw formation energy**: -2130 meV per atom
**Calculated volume**: 352 Å³ per cell
**M_tot**: 5.00 Bohr magnetons per cell

***

Short version: total DFT energy (no corrections) = -63.85, -97.39, -70.39, -151.37 eV for the cell shown, in the order given.